Here is K2Tl4PbAu3 after structural relaxation from Alexandria. Energies are from PBE.

CIF file:
```
data_K2Tl4PbAu3
_cell_length_a 5.225
_cell_length_b 5.225
_cell_length_c 11.418
_cell_angle_alpha 90.00
_cell_angle_beta 90.00
_cell_angle_gamma 90.00
_space_group_name_H-M_alt 'P 1'
_space_group_IT_number 1
loop_
_space_group_symop_operation_xyz
'x,y,z'
loop_
_atom_site_label
_atom_site_type_symbol
_atom_site_fract_x
_atom_site_fract_y
_atom_site_fract_z
Au1 Au 0.000 0.500 0.113
Au2 Au 0.000 0.000 0.500
Au3 Au 0.500 0.000 0.887
K1 K 0.000 0.500 0.749
K2 K 0.500 0.000 0.251
Tl1 Tl 0.500 0.500 0.000
Tl2 Tl 0.000 0.500 0.360
Tl3 Tl 0.000 0.000 0.000
Tl4 Tl 0.500 0.000 0.640
Pb1 Pb 0.500 0.500 0.500
```

Calculated values
SG: P-4m2, No. 115
calculated density: 9.0 g/cm³
energy of formation from the pure elements: -0.138 eV/atom
D(E_F): 0.35 states/eV per atom